1.
A geometry-optimized LaY3Sc structure, computed with PBE-GGA.

Unit cell a=5.5655 b=5.5655 c=5.5655 alpha=90.00 beta=90.00 gamma=90.00
Atoms (fractional coordinates):
Y  0.0000  0.0000  0.5000
Y  0.0000  0.5000  0.0000
Sc  0.5000  0.5000  0.5000
Y  0.5000  0.0000  0.0000
La  0.0000  0.0000  0.0000

E_tot in Ha/atom: -0.1958
Distance to the lowest polymorph of the same formula in meV/atom: 729
Mass density in g cm⁻³: 4.34


2.
A geometry-optimized RbHf3Ge structure, computed with PBE-GGA.

Unit cell a=5.0159 b=5.0159 c=5.0159 alpha=90.00 beta=90.00 gamma=90.00
Atoms (fractional coordinates):
Hf  0.0000  0.0000  0.5000
Hf  0.5000  0.0000  0.0000
Hf  0.0000  0.5000  0.0000
Rb  0.0000  0.0000  0.0000
Ge  0.5000  0.5000  0.5000

E_tot in Ha/atom: -0.1728
Distance to the lowest polymorph of the same formula in meV/atom: 1476
Mass density in g cm⁻³: 9.13


3.
A geometry-optimized SrGaN3 structure, computed with PBE-GGA.

Unit cell a=4.8201 b=4.8201 c=4.8201 alpha=90.00 beta=90.00 gamma=90.00
Atoms (fractional coordinates):
Sr  0.0000  0.0000  0.0000
Ga  0.5000  0.5000  0.5000
N  0.0000  0.5000  0.0000
N  0.5000  0.0000  0.0000
N  0.0000  0.0000  0.5000

E_tot in Ha/atom: -0.1440
Raw formation energy in eV per atom: 2.02
Mass density in g cm⁻³: 2.96


4.
A geometry-optimized Tb6Au2N structure, computed with PBE-GGA.

Unit cell a=6.6623 b=7.0001 c=9.6985 alpha=90.00 beta=89.44 gamma=90.00
Atoms (fractional coordinates):
Tb  0.1931  0.2884  0.5517
Tb  0.8069  0.7116  0.4483
Tb  0.7079  0.1977  0.4477
N  0.0000  0.0000  0.5000
Tb  0.7921  0.6977  0.0523
Au  0.0322  0.5695  0.7504
Tb  0.6931  0.2116  0.0517
Tb  0.2921  0.8023  0.5523
N  0.5000  0.5000  0.0000
Tb  0.2079  0.3023  0.9477
Au  0.4678  0.0695  0.7496
Tb  0.1048  0.0215  0.2581
Tb  0.3952  0.5215  0.2419
Tb  0.3069  0.7884  0.9483
Au  0.9678  0.4305  0.2496
Tb  0.8952  0.9785  0.7419
Tb  0.6048  0.4785  0.7581
Au  0.5322  0.9305  0.2504

E_tot in Ha/atom: -0.2024
Raw formation energy in eV per atom: -0.77
Mass density in g cm⁻³: 10.00


5.
A geometry-optimized CuSiI4 structure, computed with PBE-GGA.

Unit cell a=6.3588 b=6.3796 c=12.7634 alpha=90.00 beta=90.00 gamma=90.00
Atoms (fractional coordinates):
I  0.2522  0.2330  0.6176
I  0.2340  0.2512  0.1166
I  0.7478  0.7670  0.6176
I  0.7660  0.2512  0.8834
I  0.7660  0.7488  0.1166
I  0.2522  0.7670  0.3824
Si  0.0000  0.5000  0.0000
I  0.7478  0.2330  0.3824
Si  0.0000  0.0000  0.5000
Cu  0.0000  0.0000  0.0000
Cu  0.5000  0.0000  0.5000
I  0.2340  0.7488  0.8834

E_tot in Ha/atom: -0.0994
Raw formation energy in eV per atom: -0.08
Mass density in g cm⁻³: 3.84


6.
A geometry-optimized CdOsCl2 structure, computed with PBE-GGA.

Unit cell a=3.0786 b=3.0786 c=8.3432 alpha=90.00 beta=90.00 gamma=90.00
Atoms (fractional coordinates):
Cl  0.5000  0.5000  0.3243
Cl  0.0000  0.0000  0.9460
Os  0.0000  0.0000  0.4919
Cd  0.5000  0.5000  0.7379

E_tot in Ha/atom: -0.1309
Distance to the lowest polymorph of the same formula in meV/atom: 353
Raw formation energy in eV per atom: 0.40
Mass density in g cm⁻³: 7.84


7.
A geometry-optimized MnTl2BiSe4 structure, computed with PBE-GGA.

Unit cell a=7.0303 b=6.7186 c=6.7186 alpha=74.11 beta=58.45 gamma=58.45
Atoms (fractional coordinates):
Se  0.1133  0.3445  0.0000
Se  0.5422  0.0000  0.3445
Se  0.4578  0.6555  0.0000
Mn  0.5000  0.0000  0.0000
Bi  0.0000  0.0000  0.0000
Tl  0.5000  0.5000  0.5000
Se  0.8867  0.0000  0.6555
Tl  0.0000  0.5000  0.5000

E_tot in Ha/atom: -0.1571
Raw formation energy in eV per atom: -0.31
Mass density in g cm⁻³: 7.12


8.
A geometry-optimized CuMoIr structure, computed with PBE-GGA.

Unit cell a=4.6512 b=4.6512 c=4.6512 alpha=145.38 beta=131.47 gamma=60.98
Atoms (fractional coordinates):
Ir  0.6669  0.6669  0.0000
Cu  0.0004  0.0004  0.0000
Mo  0.3327  0.3327  0.0000

E_tot in Ha/atom: -0.2947
Distance to the lowest polymorph of the same formula in meV/atom: 0
Mass density in g cm⁻³: 13.77


9.
A geometry-optimized Ce4AsPtS2 structure, computed with PBE-GGA.

Unit cell a=4.0696 b=7.1544 c=7.2013 alpha=70.84 beta=90.00 gamma=90.00
Atoms (fractional coordinates):
Ce  0.5000  0.2409  0.7532
S  0.0000  0.0000  0.0000
Ce  0.5000  0.7591  0.2468
S  0.5000  0.0000  0.5000
As  0.0000  0.5000  0.5000
Ce  0.0000  0.2464  0.2484
Pt  0.5000  0.5000  0.0000
Ce  0.0000  0.7536  0.7516

E_tot in Ha/atom: -0.2533
Raw formation energy in eV per atom: -1.56
Mass density in g cm⁻³: 7.50


10.
A geometry-optimized Cs2KGa2As2 structure, computed with PBE-GGA.

Unit cell a=4.1406 b=7.5024 c=15.5917 alpha=140.47 beta=90.00 gamma=106.02
Atoms (fractional coordinates):
K  0.0000  0.0000  0.0000
As  0.6982  0.3964  0.2813
Ga  0.3572  0.7145  0.3884
As  0.3018  0.6036  0.7187
Ga  0.6428  0.2855  0.6116
Cs  0.0040  0.0079  0.3054
Cs  0.9960  0.9921  0.6946

E_tot in Ha/atom: -0.1097
Mass density in g cm⁻³: 3.55


11.
A geometry-optimized ZnSnHg2Au structure, computed with PBE-GGA.

Unit cell a=5.7932 b=5.2439 c=5.7932 alpha=90.00 beta=90.00 gamma=90.00
Atoms (fractional coordinates):
Zn  0.5000  0.5000  0.5000
Au  0.0000  0.5000  0.0000
Sn  0.0000  0.0000  0.0000
Hg  0.5000  0.0000  0.0000
Hg  0.0000  0.0000  0.5000

E_tot in Ha/atom: -0.0564
Mass density in g cm⁻³: 7.38


12.
A geometry-optimized RbLiHg2F8 structure, computed with PBE-GGA.

Unit cell a=4.7506 b=5.1548 c=8.5344 alpha=85.65 beta=90.19 gamma=86.12
Atoms (fractional coordinates):
Hg  0.5311  0.4982  0.2064
F  0.4456  0.2822  0.4144
F  0.3305  0.2599  0.9846
F  0.6695  0.7401  0.0154
F  0.8215  0.2383  0.7837
F  0.5544  0.7178  0.5856
Li  0.0000  0.0000  0.0000
Rb  0.0000  0.0000  0.5000
F  0.8721  0.2248  0.1835
F  0.1279  0.7752  0.8165
F  0.1785  0.7617  0.2163
Hg  0.4689  0.5018  0.7936

E_tot in Ha/atom: -0.1192
Raw formation energy in eV per atom: -1.71
Mass density in g cm⁻³: 5.16